First-principles (PBE-GGA) data for an optimized crystal structure of InGaHgCl2, as listed in Alexandria.

SG: P4/mmm
Total magnetization in μB/atom: 0.00
Raw formation energy in kJ/mol of atoms: -45.89
ρ in g cm⁻³: 5.0
V in Å³/f.u.: 152
Electronic total energy in eV/atom: -2.43

extended XYZ file:
```
5
Lattice="5.4099 0.0000 0.0000 0.0000 5.4099 0.0000 0.0000 0.0000 5.2098" Properties=species:S:1:pos:R:3 pbc="T T T"
In 0.0000 0.0000 0.0000
Ga 2.7050 2.7050 2.6049
Hg 2.7050 2.7050 0.0000
Cl 0.0000 2.7050 2.6049
Cl 2.7050 0.0000 2.6049
```